No. 1
CoMo2Os | GGA-PBE | optimized geometry

abc: 2.7680 3.7011 5.5861
angles: 90.00 90.00 90.00
Closest atoms and distances in Å follow each position.
Atoms (fractional coordinates):
Co  0.0000  0.0000  0.0000  6 Mo 2.62-2.86, 4 Os 2.67, 2 Co 2.77
Mo  0.0000  0.0000  0.5120  4 Os 2.69, 2 Co 2.73-2.86, 6 Mo 2.77-2.83
Mo  0.5000  0.5000  0.2204  1 Os 2.58, 4 Co 2.62, 6 Mo 2.77-2.83
Os  0.5000  0.5000  0.7591  5 Mo 2.58-2.69, 4 Co 2.67, 2 Os 2.77

Output
- Calculated formation energy: 17 kJ/mol of atoms



No. 2
CoMoOs4 | GGA-PBE | optimized geometry

abc: 5.0821 5.0821 5.0821
angles: 60.00 60.00 60.00
Closest atoms and distances in Å follow each position.
Atoms (fractional coordinates):
Co  0.0000  0.0000  0.0000  12 Os 2.98, 4 Mo 3.11
Mo  0.2500  0.2500  0.2500  12 Os 2.98, 4 Co 3.11
Os  0.1239  0.6254  0.6254  6 Os 2.53-2.55
Os  0.6254  0.1239  0.6254  6 Os 2.53-2.55
Os  0.6254  0.6254  0.1239  6 Os 2.53-2.55
Os  0.6254  0.6254  0.6254  6 Os 2.53-2.55

Output
- Calculated formation energy: 61 kJ/mol of atoms